1.
V2NiH4: relaxed, PBE.

Results
* E above lowest polymorph: 68.6 meV/atom

Cell lengths 3.0440, 3.0440, 10.5807 Å; angles 90.00, 90.00, 90.00 degrees
Closest atoms and distances in Å follow each position.
Fractional coordinates of all 14 atoms:
V 0.0000 0.0000 0.1616  1 H 1.83
V 0.0000 0.0000 0.8384  1 H 1.83
V 0.5000 0.5000 0.3384  1 H 1.83
V 0.5000 0.5000 0.6616  1 H 1.83
Ni 0.0000 0.0000 0.5000  4 H 1.52
Ni 0.5000 0.5000 0.0000  4 H 1.52
H 0.0000 0.0000 0.3345  1 Ni 1.75, 1 V 1.83
H 0.0000 0.0000 0.6655  1 Ni 1.75, 1 V 1.83
H 0.0000 0.5000 0.0000  2 Ni 1.52
H 0.0000 0.5000 0.5000  2 Ni 1.52
H 0.5000 0.0000 0.0000  2 Ni 1.52
H 0.5000 0.0000 0.5000  2 Ni 1.52
H 0.5000 0.5000 0.1655  1 Ni 1.75, 1 V 1.83
H 0.5000 0.5000 0.8345  1 Ni 1.75, 1 V 1.83

---

2.
VNi3H4: relaxed, PBE.

Results
* raw total energy: -0.370 Ry per atom

Cell lengths 3.8151, 3.8151, 7.4849 Å; angles 90.00, 90.00, 90.00 degrees
Closest atoms and distances in Å follow each position.
Fractional coordinates of all 16 atoms:
V 0.0000 0.0000 0.0000  6 H 1.91-1.94
V 0.5000 0.5000 0.5000  6 H 1.91-1.94
Ni 0.0000 0.0000 0.5000  6 H 1.80-1.91
Ni 0.0000 0.5000 0.2500  6 H 1.87-1.91
Ni 0.0000 0.5000 0.7500  6 H 1.87-1.91
Ni 0.5000 0.0000 0.2500  6 H 1.87-1.91
Ni 0.5000 0.0000 0.7500  6 H 1.87-1.91
Ni 0.5000 0.5000 0.0000  6 H 1.80-1.91
H 0.0000 0.0000 0.2598  5 Ni 1.80-1.91, 1 V 1.94
H 0.0000 0.0000 0.7402  5 Ni 1.80-1.91, 1 V 1.94
H 0.0000 0.5000 0.0000  4 Ni 1.87-1.91, 2 V 1.91
H 0.0000 0.5000 0.5000  4 Ni 1.87-1.91, 2 V 1.91
H 0.5000 0.0000 0.0000  4 Ni 1.87-1.91, 2 V 1.91
H 0.5000 0.0000 0.5000  4 Ni 1.87-1.91, 2 V 1.91
H 0.5000 0.5000 0.2402  5 Ni 1.80-1.91, 1 V 1.94
H 0.5000 0.5000 0.7598  5 Ni 1.80-1.91, 1 V 1.94